Pm7SmAl4 | GGA-PBE | relaxed

```
Pm7SmAl4
1.0
7.0490 -2.8181 0.0000
7.0490 2.8181 0.0000
-6.0267 0.0000 8.8182
Pm Sm Al
7 1 4
Cartesian
0.0000 0.0000 0.0000 Pm
-1.0172 0.0000 5.6955 Pm
3.4030 0.0000 1.0697 Pm
2.4362 0.0000 5.3976 Pm
5.6351 0.0000 3.4206 Pm
4.6684 0.0000 7.7485 Pm
9.0886 0.0000 3.1227 Pm
7.0490 0.0000 0.0000 Sm
-3.8450 0.0000 6.7005 Al
0.4749 0.0000 2.9214 Al
7.5965 0.0000 5.8968 Al
11.9164 0.0000 2.1177 Al
```

Output
The calculation puts the formation energy at -0.069 eV per atom. The uncorrected energy is -53.768 eV per cell. The symmetry is C2/m, No. 12. The calculation puts the density of states at the Fermi level at 1.08 states/eV/atom. The total moment comes out at 0.021 μB/atom.